Here is crystalline ScFeF2 at its relaxed geometry from Alexandria. Energies are from GGA+U.

The total magnetization comes out at 3.1 μB per cell. The volume comes out at 58.2 Å³/f.u. The value obtained for the final energy is -5.648 eV per atom.

Unit cell a=8.003 b=8.003 c=8.003 alpha=21.11 beta=21.11 gamma=21.11
Positions (direct):
Sc: 0.000 0.000 0.000
Fe: 0.500 0.500 0.500
F: 0.394 0.394 0.394
F: 0.606 0.606 0.606